[1]
La2NbS4 | PBE-GGA | relaxed

abc: 4.6958 4.6958 8.1341
angles: 73.22 73.22 90.00
Atoms (fractional coordinates):
1 S 0.5000 0.0000 0.0000
2 Nb 0.0000 0.0000 0.0000
3 S 0.1767 0.1767 0.6466
4 S 0.8233 0.8233 0.3534
5 La 0.3628 0.3628 0.2745
6 La 0.6372 0.6372 0.7255
7 S 0.0000 0.5000 0.0000

Calculated values
- Uncorrected formation energy: -155 kJ per mole of atoms
- Space-group type: I4/mmm (139)

[2]
LiTlGe2Br6 | PBE-GGA | relaxed

abc: 8.9081 10.0943 10.0943
angles: 70.79 61.93 61.93
Atoms (fractional coordinates):
1 Ge 0.2378 0.7680 0.6721
2 Br 0.2233 0.9615 0.8109
3 Br 0.5960 0.1299 0.5990
4 Br 0.4040 0.8701 0.4010
5 Ge 0.7378 0.6721 0.7680
6 Li 0.7500 0.7778 0.2222
7 Br 0.9040 0.4010 0.8701
8 Br 0.2767 0.1891 0.0385
9 Br 0.5103 0.5431 0.7000
10 Br 0.9897 0.3000 0.4569
11 Tl 0.2500 0.8421 0.1579
12 Br 0.0960 0.5990 0.1299
13 Br 0.4897 0.4569 0.3000
14 Li 0.2500 0.2222 0.7778
15 Tl 0.7500 0.1579 0.8421
16 Br 0.0103 0.7000 0.5431
17 Br 0.7233 0.8109 0.9615
18 Br 0.7767 0.0385 0.1891
19 Ge 0.7622 0.2320 0.3279
20 Ge 0.2622 0.3279 0.2320

Calculated values
- Uncorrected formation energy: -74 kJ per mole of atoms
- Space-group type: C2/c (15)

[3]
TbEr3Bi3 | PBE-GGA | relaxed

abc: 9.0522 9.0522 8.1465
angles: 56.25 56.25 60.00
Atoms (fractional coordinates):
1 Tb 0.6662 0.6662 0.0013
2 Er 0.9186 0.6652 0.2426
3 Bi 0.0842 0.6958 0.7429
4 Bi 0.6958 0.4772 0.7429
5 Bi 0.5228 0.9158 0.2571
6 Bi 0.9158 0.3042 0.2571
7 Tb 0.3338 0.3338 0.9987
8 Bi 0.3042 0.5228 0.2571
9 Er 0.0814 0.3348 0.7574
10 Bi 0.4772 0.0842 0.7429
11 Er 0.1735 0.9186 0.2426
12 Er 0.3348 0.8265 0.7574
13 Er 0.6652 0.1735 0.2426
14 Er 0.8265 0.0814 0.7574

Calculated values
- Formation enthalpy at 0 K: -621 meV/atom
- Energy above the most stable polymorph in this dataset: 70 meV per atom
- Space-group type: R-3 (148)

[4]
HfCr3P | PBE-GGA | relaxed

abc: 4.5238 4.5238 4.5238
angles: 90.00 90.00 90.00
Atoms (fractional coordinates):
1 Cr 0.0000 0.0000 0.5000
2 Cr 0.5000 0.0000 0.0000
3 P 0.5000 0.5000 0.5000
4 Cr 0.0000 0.5000 0.0000
5 Hf 0.0000 0.0000 0.0000

Calculated values
- Formation enthalpy at 0 K: 2217 meV/atom
- Energy above the most stable polymorph in this dataset: 1998 meV per atom
- Space-group type: Pm-3m (221)

[5]
Cs2RbTl16 | PBE-GGA | relaxed

abc: 8.8378 8.8378 8.8378
angles: 83.99 83.99 83.99
Atoms (fractional coordinates):
1 Tl 0.1534 0.6486 0.6486
2 Tl 0.9984 0.9984 0.4870
3 Cs 0.3560 0.3560 0.3560
4 Tl 0.3429 0.8401 0.3429
5 Tl 0.3031 0.9990 0.6872
6 Tl 0.6486 0.6486 0.1534
7 Tl 0.6872 0.3031 0.9990
8 Tl 0.9990 0.6872 0.3031
9 Tl 0.3031 0.6872 0.9990
10 Tl 0.9984 0.4870 0.9984
11 Tl 0.8401 0.3429 0.3429
12 Tl 0.4870 0.9984 0.9984
13 Tl 0.9990 0.3031 0.6872
14 Rb 0.9175 0.9175 0.9175
15 Tl 0.6486 0.1534 0.6486
16 Tl 0.1332 0.1332 0.1332
17 Tl 0.3429 0.3429 0.8401
18 Tl 0.6872 0.9990 0.3031
19 Cs 0.6544 0.6544 0.6544

Calculated values
- Formation enthalpy at 0 K: -34 meV/atom
- Space-group type: R3m (160)

[6]
Na2HoUO6 | PBE-GGA | relaxed

abc: 5.7947 5.9355 8.2962
angles: 90.00 89.92 90.00
Each line ends with the local moment (μB).
Atoms (fractional coordinates):
1 O 0.9023 0.5383 0.2388  0.13
2 O 0.2103 0.1908 0.4513  0.12
3 O 0.0977 0.4617 0.7612  0.13
4 Ho 0.0000 0.5000 0.5000  0.02
5 O 0.8138 0.7880 0.9467  0.13
6 Na 0.0071 0.9634 0.2512  0.00
7 O 0.7897 0.8092 0.5487  0.12
8 O 0.3138 0.7120 0.4467  0.13
9 O 0.4023 0.9617 0.7388  0.13
10 O 0.5977 0.0383 0.2612  0.13
11 Ho 0.5000 0.0000 0.0000  0.02
12 O 0.6862 0.2880 0.5533  0.13
13 O 0.1862 0.2120 0.0533  0.13
14 O 0.7103 0.3092 0.9513  0.12
15 Na 0.5071 0.5366 0.7512  0.00
16 U 0.5000 0.0000 0.5000  0.04
17 Na 0.9929 0.0366 0.7488  0.00
18 U 0.0000 0.5000 0.0000  0.04
19 Na 0.4929 0.4634 0.2488  0.00
20 O 0.2897 0.6908 0.0487  0.12

Calculated values
- Uncorrected formation energy: -255 kJ per mole of atoms
- Space-group type: P2_1/c (14)

[7]
TmPaZnRe | PBE-GGA | relaxed

abc: 4.9061 4.9061 4.9061
angles: 60.00 60.00 60.00
Atoms (fractional coordinates):
1 Re 0.7500 0.7500 0.7500
2 Zn 0.2500 0.2500 0.2500
3 Tm 0.0000 0.0000 0.0000
4 Pa 0.5000 0.5000 0.5000

Calculated values
- Formation enthalpy at 0 K: -46 meV/atom
- Space-group type: F-43m (216)

[8]
Ni2CI | PBE-GGA | relaxed

abc: 4.6662 11.6272 6.2370
angles: 90.00 128.19 90.00
Atoms (fractional coordinates):
1 Ni 0.4116 0.0000 0.8027
2 C 0.7536 0.5000 0.7141
3 Ni 0.9751 0.1124 0.1170
4 C 0.1332 0.5000 0.9105
5 I 0.9976 0.6723 0.2474
6 Ni 0.5593 0.0000 0.4262
7 I 0.9976 0.3277 0.2474
8 I 0.9976 0.1723 0.7474
9 I 0.9976 0.8277 0.7474
10 Ni 0.9751 0.3876 0.6170
11 Ni 0.9751 0.8876 0.1170
12 C 0.7536 0.0000 0.2141
13 Ni 0.4116 0.5000 0.3027
14 Ni 0.9751 0.6124 0.6170
15 Ni 0.5593 0.5000 0.9262
16 C 0.1332 0.0000 0.4105

Calculated values
- Energy above the most stable polymorph in this dataset: 191 meV per atom
- Uncorrected formation energy: 41 kJ per mole of atoms
- Space-group type: Cm (8)

[9]
LiCa2Y | PBE-GGA | relaxed

abc: 3.8156 3.8156 9.2308
angles: 90.00 90.00 90.00
Each line ends with the local moment (μB).
Atoms (fractional coordinates):
1 Y 0.5000 0.5000 0.7056  0.22
2 Li 0.0000 0.0000 0.5110  0.01
3 Ca 0.0000 0.0000 0.9857  0.04
4 Ca 0.5000 0.5000 0.2976  0.05

Calculated values
- Formation enthalpy at 0 K: 95 meV/atom
- Energy above the most stable polymorph in this dataset: 0 meV per atom
- Space-group type: P4mm (99)

[10]
Tl2HgI3 | PBE-GGA | relaxed

abc: 6.7864 10.0370 8.4443
angles: 107.24 113.69 90.00
Atoms (fractional coordinates):
1 Hg 0.9984 0.7500 0.0000
2 I 0.4990 0.7500 0.0000
3 Tl 0.6725 0.0861 0.3451
4 I 0.8408 0.9201 0.6817
5 I 0.5010 0.2500 0.0000
6 I 0.1592 0.0799 0.3183
7 Tl 0.3275 0.4139 0.6549
8 I 0.8409 0.4201 0.6817
9 I 0.1591 0.5799 0.3183
10 Tl 0.3275 0.9139 0.6549
11 Tl 0.6725 0.5861 0.3451
12 Hg 0.0016 0.2500 0.0000

Calculated values
- Uncorrected formation energy: -42 kJ per mole of atoms
- Space-group type: C2/c (15)

[11]
FeNiAsSe | PBE-GGA | relaxed

abc: 5.8090 3.3073 7.8131
angles: 90.00 125.52 90.00
Atoms (fractional coordinates):
1 Ni 0.9620 0.0000 0.3219
2 Ni 0.9620 0.5000 0.8219
3 Se 0.3771 0.5000 0.1446
4 Se 0.3771 0.0000 0.6446
5 Fe 0.4428 0.5000 0.4716
6 As 0.8152 0.0000 0.5629
7 As 0.8152 0.5000 0.0629
8 Fe 0.4428 0.0000 0.9716

Calculated values
- Energy above the most stable polymorph in this dataset: 123 meV per atom
- Uncorrected formation energy: -5 kJ per mole of atoms
- Space-group type: Cm (8)

[12]
LaEr3Sc | PBE-GGA | relaxed

abc: 5.6042 6.1596 9.4197
angles: 109.14 90.00 90.00
Atoms (fractional coordinates):
1 Sc 0.7500 0.1308 0.5934
2 Er 0.7500 0.9364 0.2108
3 La 0.2500 0.2722 0.2024
4 La 0.7500 0.7278 0.7976
5 Er 0.2500 0.6668 0.0022
6 Er 0.2500 0.4530 0.5948
7 Er 0.2500 0.0636 0.7892
8 Sc 0.2500 0.8692 0.4066
9 Er 0.7500 0.5470 0.4052
10 Er 0.7500 0.3332 0.9978

Calculated values
- Formation enthalpy at 0 K: 38 meV/atom
- Energy above the most stable polymorph in this dataset: 6 meV per atom
- Space-group type: P2_1/m (11)

[13]
Ac2ScInO6 | PBE-GGA | relaxed

abc: 5.8754 5.9749 8.3544
angles: 90.00 90.05 90.00
Atoms (fractional coordinates):
1 O 0.9081 0.5310 0.2451
2 O 0.2879 0.7032 0.0484
3 O 0.7121 0.2968 0.9516
4 O 0.7971 0.7877 0.9494
5 Ac 0.4898 0.4578 0.2497
6 O 0.4081 0.9690 0.7451
7 In 0.5000 0.0000 0.0000
8 O 0.0919 0.4690 0.7549
9 Ac 0.0102 0.9578 0.2503
10 O 0.2971 0.7123 0.4494
11 O 0.2121 0.2032 0.4516
12 O 0.7029 0.2877 0.5506
13 Sc 0.5000 0.0000 0.5000
14 In 0.0000 0.5000 0.5000
15 Ac 0.9898 0.0422 0.7497
16 O 0.5919 0.0310 0.2549
17 O 0.2029 0.2123 0.0506
18 O 0.7879 0.7968 0.5484
19 Sc 0.0000 0.5000 0.0000
20 Ac 0.5102 0.5422 0.7503

Calculated values
- Uncorrected formation energy: -289 kJ per mole of atoms
- Space-group type: P2_1/c (14)

[14]
InTcRh2 | PBE-GGA | relaxed

abc: 4.5649 2.8279 4.8325
angles: 89.94 90.00 90.00
Atoms (fractional coordinates):
1 Rh 0.5000 0.1248 0.2984
2 Tc 0.0000 0.6240 0.4414
3 Rh 0.0000 0.1255 0.9591
4 In 0.5000 0.6257 0.8011

Calculated values
- Formation enthalpy at 0 K: -19 meV/atom
- Space-group type: Pmm2 (25)

[15]
SrCo3Au | PBE-GGA | relaxed

abc: 4.8185 4.8185 4.8185
angles: 90.00 90.00 90.00
Each line ends with the local moment (μB).
Atoms (fractional coordinates):
1 Co 0.0000 0.0000 0.5000  2.43
2 Co 0.5000 0.0000 0.0000  1.45
3 Au 0.0000 0.0000 0.0000  0.17
4 Sr 0.5000 0.5000 0.5000  -0.05
5 Co 0.0000 0.5000 0.0000  1.96

Calculated values
- Formation enthalpy at 0 K: 863 meV/atom
- Energy above the most stable polymorph in this dataset: 0 meV per atom
- Space-group type: Pm-3m (221)

[16]
TiCd2RuRh | PBE-GGA | relaxed

abc: 5.1177 4.3417 5.1177
angles: 90.00 90.00 90.00
Each line ends with the local moment (μB).
Atoms (fractional coordinates):
1 Ti 0.0000 0.0000 0.0000  0.38
2 Rh 0.0000 0.5000 0.0000  0.01
3 Cd 0.5000 0.0000 0.0000  0.02
4 Ru 0.5000 0.5000 0.5000  2.02
5 Cd 0.0000 0.0000 0.5000  0.01

Calculated values
- Formation enthalpy at 0 K: 1257 meV/atom
- Space-group type: P4/mmm (123)

[17]
LiP2Ir | PBE-GGA | relaxed

abc: 3.4385 3.9171 3.9171
angles: 90.00 90.00 90.00
Atoms (fractional coordinates):
1 P 0.0000 0.0000 0.0000
2 Ir 0.5000 0.5000 0.0000
3 P 0.0000 0.5000 0.5000
4 Li 0.5000 0.0000 0.5000

Calculated values
- Formation enthalpy at 0 K: -88 meV/atom
- Energy above the most stable polymorph in this dataset: 495 meV per atom
- Space-group type: P4/mmm (123)

[18]
MnBi2Cl | PBE-GGA | relaxed

abc: 6.3469 6.3469 7.8649
angles: 66.20 66.20 90.00
Atoms (fractional coordinates):
1 Mn 0.7500 0.2500 0.5000
2 Bi 0.7165 0.1250 0.2500
3 Bi 0.0335 0.6250 0.2500
4 Cl 0.2500 0.7500 0.5000
5 Bi 0.3750 0.2835 0.7500
6 Bi 0.8750 0.9665 0.7500
7 Mn 0.0000 0.0000 0.0000
8 Cl 0.5000 0.5000 0.0000

Calculated values
- Energy above the most stable polymorph in this dataset: 206 meV per atom
- Uncorrected formation energy: 41 kJ per mole of atoms
- Space-group type: I-42d (122)

[19]
La6Pm4Th | PBE-GGA | relaxed

abc: 6.0391 5.7908 26.3126
angles: 90.00 90.00 121.43
Atoms (fractional coordinates):
1 La 0.5000 0.0000 0.0000
2 Pm 0.1482 0.2965 0.4563
3 Th 0.7815 0.5631 0.2500
4 Pm 0.1482 0.2965 0.0437
5 La 0.1108 0.2217 0.1824
6 La 0.2075 0.4149 0.8976
7 La 0.5000 0.0000 0.5000
8 La 0.1108 0.2217 0.3176
9 La 0.7925 0.5851 0.3976
10 Th 0.2185 0.4369 0.7500
11 La 0.8892 0.7783 0.6824
12 Pm 0.5571 0.1142 0.6237
13 Pm 0.4429 0.8858 0.1237
14 Pm 0.8518 0.7035 0.5437
15 Pm 0.4429 0.8858 0.3763
16 La 0.7925 0.5851 0.1024
17 La 0.5616 0.1232 0.7500
18 La 0.2075 0.4149 0.6024
19 Pm 0.8518 0.7035 0.9563
20 Pm 0.5571 0.1142 0.8763
21 La 0.4384 0.8768 0.2500
22 La 0.8892 0.7783 0.8176

Calculated values
- Formation enthalpy at 0 K: 122 meV/atom
- Space-group type: Cmcm (63)

[20]
NbAsPCl2 | PBE-GGA | relaxed

abc: 4.7969 4.7969 5.0120
angles: 90.00 90.00 90.00
Each line ends with the local moment (μB).
Atoms (fractional coordinates):
1 As 0.0000 0.0000 0.0000  0.08
2 Cl 0.5000 0.0000 0.0000  -0.01
3 Cl 0.0000 0.5000 0.0000  -0.01
4 P 0.0000 0.0000 0.5000  -0.12
5 Nb 0.5000 0.5000 0.5000  2.61

Calculated values
- Energy above the most stable polymorph in this dataset: 643 meV per atom
- Uncorrected formation energy: 74 kJ per mole of atoms
- Space-group type: P4/mmm (123)